Entry 1:
Computed, not measured: a geometry-optimized La3RuO structure at the PBE-GGA level of DFT.

a b c (Å): 4.9286 4.9286 4.9286
angles (deg): 90.00 90.00 90.00
Atoms (fractional coordinates):
Ru 0.5000 0.5000 0.5000
La 0.5000 0.0000 0.0000
La 0.0000 0.0000 0.5000
O 0.0000 0.0000 0.0000
La 0.0000 0.5000 0.0000

As for the electronic total energy: -6.824 eV per atom. The formation energy from raw total energies is -1.021 eV per atom. For the volume, the calculation gives 119.7 Å³ per cell. As for the energy above the most stable polymorph in this dataset: 0 meV/atom.

***

Entry 2:
Computed, not measured: a geometry-optimized PrNd7Y6 structure at the PBE-GGA level of DFT.

a b c (Å): 8.8037 8.8037 9.0057
angles (deg): 60.74 60.74 60.00
Atoms (fractional coordinates):
Y 0.3939 0.6171 0.8305
Nd 0.2613 0.6116 0.3640
Y 0.6171 0.1585 0.8305
Y 0.1585 0.3939 0.8305
Pr 0.9862 0.9862 0.0414
Nd 0.7631 0.2613 0.3640
Nd 0.0500 0.8985 0.6493
Nd 0.4022 0.0500 0.6493
Nd 0.8985 0.4022 0.6493
Y 0.0451 0.5038 0.1824
Y 0.5038 0.2688 0.1824
Y 0.2688 0.0451 0.1824
Nd 0.6116 0.7631 0.3640
Nd 0.6756 0.6756 0.9732

As for the electronic total energy: -5.288 eV per atom. For the volume, the calculation gives 499.0 Å³ per cell. The formation energy comes out at 0.208 eV/atom.